# GGA-PBE CaBiAu10, relaxed
# energy relative to the elements = -0.181 eV per atom
# DOS at the Fermi energy = 4.504 states/eV/f.u.
data_CaBiAu10
_chemical_formula_sum 'Ca1 Bi1 Au10'
_space_group_name_H-M_alt 'P 1'
_space_group_IT_number 1
_space_group_name_Hall 'P 1'
_cell_length_a 4.667
_cell_length_b 5.606
_cell_length_c 9.782
_cell_angle_alpha 90.00
_cell_angle_beta 90.00
_cell_angle_gamma 90.00
loop_
_atom_site_label
_atom_site_type_symbol
_atom_site_fract_x
_atom_site_fract_y
_atom_site_fract_z
_atom_site_occupancy
Ca1 Ca 0.000 0.000 0.000 1
Bi1 Bi 0.000 0.500 0.500 1
Au1 Au 0.000 0.000 0.335 1
Au2 Au 0.000 0.000 0.665 1
Au3 Au 0.000 0.500 0.166 1
Au4 Au 0.000 0.500 0.834 1
Au5 Au 0.500 0.000 0.500 1
Au6 Au 0.500 0.248 0.247 1
Au7 Au 0.500 0.248 0.753 1
Au8 Au 0.500 0.500 0.000 1
Au9 Au 0.500 0.752 0.247 1
Au10 Au 0.500 0.752 0.753 1